No. 1
VASP calculation (PBE-GGA) on an optimized crystal structure of SmDyTl4.

Cell: 7.1611 7.1528 7.6361 Å, 90.00 90.05 90.00°
With the nearest neighbours (Å) after each atom.
Space group C2/m (No. 12)
Unique sites:
Sm (0.0000, 0.0000, 0.0000) x2  8 Tl 3.20
Dy (0.0000, 0.5000, 0.5000) x2  8 Tl 3.14
Tl (0.2499, 0.2503, 0.2571) x8  2 Dy 3.14, 2 Sm 3.20

Values from the calculation:
The calculation puts the energy relative to the elements at -0.009 eV per atom. As for the density: 9.60 g/cm3. The calculation puts the spin magnetization at 0.00 μB per cell.

No. 2
VASP calculation (PBE-GGA) on an optimized crystal structure of FeSi2Cl.

Cell: 4.7431 4.7431 2.6839 Å, 90.00 90.00 90.00°
With the nearest neighbours (Å) after each atom.
Space group P4/mmm (No. 123)
Unique sites:
Fe (0.0000, 0.0000, 0.0000) x1  2 Fe 2.68, 8 Si 2.72
Si (0.0000, 0.5000, 0.5000) x2  2 Si 2.68, 4 Cl 2.72, 4 Fe 2.72
Cl (0.5000, 0.5000, 0.0000) x1  2 Cl 2.68, 8 Si 2.72

Values from the calculation:
The value obtained for the excess energy over the best structure of this formula in the dataset is 412 meV/atom. As for the density: 4.06 g/cm3. The calculation puts the spin magnetization at 2.25 μB per cell. The formation energy from raw total energies is 0.509 eV per atom.

No. 3
VASP calculation (PBE-GGA) on an optimized crystal structure of Ga2OsNF.

Cell: 4.7963 4.7963 3.6904 Å, 90.00 90.00 90.00°
With the nearest neighbours (Å) after each atom.
Space group P4/mmm (No. 123)
Unique sites:
Ga (0.0000, 0.5000, 0.0000) x2  2 N 2.40
Os (0.0000, 0.0000, 0.5000) x1  2 N 1.85
N (0.0000, 0.0000, 0.0000) x1  2 Os 1.85
F (0.5000, 0.5000, 0.5000) x1  8 Ga 3.03

Values from the calculation:
As for the density: 7.09 g/cm3. The calculation puts the spin magnetization at 0.00 μB per cell. The formation energy from raw total energies is 0.231 eV per atom.

No. 4
VASP calculation (PBE-GGA) on an optimized crystal structure of TbHgPdAu.

Cell: 6.9144 6.9144 6.9144 Å, 90.00 90.00 90.00°
With the nearest neighbours (Å) after each atom.
Space group F-43m (No. 216)
Unique sites:
Tb (0.0000, 0.0000, 0.0000) x4  4 Pd 2.99, 4 Au 2.99
Hg (0.0000, 0.0000, 0.5000) x4  4 Pd 2.99, 4 Au 2.99
Pd (0.2500, 0.2500, 0.2500) x4  4 Hg 2.99, 4 Tb 2.99
Au (0.2500, 0.2500, 0.7500) x4  4 Hg 2.99, 4 Tb 2.99

Values from the calculation:
The calculation puts the energy relative to the elements at -0.617 eV per atom. As for the density: 13.32 g/cm3. The calculation puts the spin magnetization at 0.00 μB per cell.